Compound: NaPrCd2O4
Source: Alexandria via LeMat-Bulk
Functional: GGA-PBE
Structure: optimized geometry

```
NaPrCd2O4
1.0
-2.420 2.420 4.909
2.420 -2.420 4.909
2.420 2.420 -4.909
Na Pr Cd O
1 1 2 4
Direct
0.000 0.000 0.000 Na
0.500 0.500 0.000 Pr
0.250 0.750 0.500 Cd
0.750 0.250 0.500 Cd
0.000 0.500 0.500 O
0.254 0.254 0.000 O
0.500 0.000 0.500 O
0.746 0.746 0.000 O
```

Properties
For the total energy, the calculation gives -5.2569 eV/atom. For the formation energy (no corrections), the calculation gives -1.787 eV per atom.

***

Compound: Na3Cd2PtO6
Source: Alexandria via LeMat-Bulk
Functional: GGA-PBE
Structure: optimized geometry

```
Na3Cd2PtO6
1.0
2.894 -4.995 0.000
2.894 4.995 0.000
-1.991 0.000 5.378
Na Cd Pt O
3 2 1 6
Direct
0.000 0.000 0.000 Na
0.335 0.665 0.000 Na
0.665 0.335 0.000 Na
0.168 0.832 0.500 Cd
0.832 0.168 0.500 Cd
0.500 0.500 0.500 Pt
0.136 0.429 0.283 O
0.278 0.278 0.707 O
0.429 0.136 0.283 O
0.571 0.864 0.717 O
0.722 0.722 0.293 O
0.864 0.571 0.717 O
```

Properties
For the total energy, the calculation gives -4.5889 eV/atom. For the formation energy (no corrections), the calculation gives -1.124 eV per atom.

***

Compound: Na2CdPtO4
Source: Alexandria via LeMat-Bulk
Functional: GGA-PBE
Structure: optimized geometry

```
Na2CdPtO4
1.0
5.721 0.000 0.000
0.000 3.235 0.000
-2.057 0.000 5.457
Na Cd Pt O
2 1 1 4
Direct
0.000 0.000 0.000 Na
0.000 0.500 0.500 Na
0.500 0.000 0.500 Cd
0.500 0.500 0.000 Pt
0.288 0.500 0.227 O
0.296 0.000 0.800 O
0.704 0.000 0.200 O
0.712 0.500 0.773 O
```

Properties
For the total energy, the calculation gives -4.7647 eV/atom. For the formation energy (no corrections), the calculation gives -1.086 eV per atom.

***

Compound: Na2PuCdO6
Source: Alexandria via LeMat-Bulk
Functional: GGA-PBE
Structure: optimized geometry

```
Na2PuCdO6
1.0
5.729 0.000 0.000
0.000 5.882 0.000
-5.669 0.000 8.187
Na Pu Cd O
4 2 2 12
Direct
0.235 0.046 0.246 Na
0.235 0.454 0.746 Na
0.765 0.546 0.254 Na
0.765 0.954 0.754 Na
0.500 0.000 0.000 Pu
0.500 0.500 0.500 Pu
0.000 0.000 0.500 Cd
0.000 0.500 0.000 Cd
0.169 0.183 0.951 O
0.169 0.317 0.451 O
0.265 0.723 0.939 O
0.265 0.777 0.439 O
0.374 0.044 0.770 O
0.374 0.456 0.270 O
0.626 0.544 0.730 O
0.626 0.956 0.230 O
0.735 0.223 0.561 O
0.735 0.277 0.061 O
0.831 0.683 0.549 O
0.831 0.817 0.049 O
```

Properties
For the total energy, the calculation gives -6.5404 eV/atom. For the formation energy (no corrections), the calculation gives -1.777 eV per atom.

***

Compound: Na4PuCd3O8
Source: Alexandria via LeMat-Bulk
Functional: GGA-PBE
Structure: optimized geometry

```
Na4PuCd3O8
1.0
3.394 1.959 5.522
-3.394 1.959 5.522
0.000 -3.919 5.522
Na Pu Cd O
4 1 3 8
Direct
0.000 0.000 0.000 Na
0.000 0.500 0.500 Na
0.500 0.000 0.500 Na
0.500 0.500 0.000 Na
0.500 0.500 0.500 Pu
0.000 0.000 0.500 Cd
0.000 0.500 0.000 Cd
0.500 0.000 0.000 Cd
0.233 0.233 0.233 O
0.280 0.280 0.715 O
0.280 0.715 0.280 O
0.285 0.720 0.720 O
0.715 0.280 0.280 O
0.720 0.285 0.720 O
0.720 0.720 0.285 O
0.767 0.767 0.767 O
```

Properties
For the total energy, the calculation gives -5.5217 eV/atom. For the formation energy (no corrections), the calculation gives -1.646 eV per atom.

***

Compound: NaPu2CdO8
Source: Alexandria via LeMat-Bulk
Functional: GGA-PBE
Structure: optimized geometry

```
NaPu2CdO8
1.0
5.895 0.000 0.000
-2.948 5.106 0.000
0.000 0.000 5.540
Na Pu Cd O
1 2 1 8
Direct
0.000 0.000 0.000 Na
0.333 0.667 0.934 Pu
0.667 0.333 0.066 Pu
0.000 0.000 0.500 Cd
0.058 0.371 0.166 O
0.313 0.942 0.166 O
0.333 0.667 0.601 O
0.371 0.313 0.834 O
0.629 0.687 0.166 O
0.667 0.333 0.399 O
0.687 0.058 0.834 O
0.942 0.629 0.834 O
```

Properties
For the total energy, the calculation gives -7.5498 eV/atom. For the formation energy (no corrections), the calculation gives -1.669 eV per atom.

***

Compound: NaPuCdO4
Source: Alexandria via LeMat-Bulk
Functional: GGA-PBE
Structure: optimized geometry

```
NaPuCdO4
1.0
-3.381 3.460 4.756
3.381 -3.460 4.756
3.381 3.460 -4.756
Na Pu Cd O
2 2 2 8
Direct
0.389 0.139 0.250 Na
0.611 0.861 0.750 Na
0.000 0.500 0.500 Pu
0.500 0.500 0.000 Pu
0.000 0.000 0.500 Cd
0.000 0.500 0.000 Cd
0.194 0.717 0.476 O
0.255 0.302 0.547 O
0.255 0.708 0.953 O
0.259 0.283 0.976 O
0.741 0.717 0.024 O
0.745 0.292 0.047 O
0.745 0.698 0.453 O
0.806 0.283 0.524 O
```

Properties
For the total energy, the calculation gives -7.2577 eV/atom. For the formation energy (no corrections), the calculation gives -2.058 eV per atom.

***

Compound: RbNa2CdO
Source: Alexandria via LeMat-Bulk
Functional: GGA-PBE
Structure: optimized geometry

```
RbNa2CdO
1.0
4.892 0.000 0.000
0.000 4.892 0.000
0.000 0.000 5.714
Rb Na Cd O
1 2 1 1
Direct
0.000 0.000 0.000 Rb
0.000 0.500 0.500 Na
0.500 0.000 0.500 Na
0.500 0.500 0.000 Cd
0.000 0.000 0.500 O
```

Properties
For the total energy, the calculation gives -2.4206 eV/atom. For the formation energy (no corrections), the calculation gives -0.525 eV per atom.

***

Compound: RbNaCd2O
Source: Alexandria via LeMat-Bulk
Functional: GGA-PBE
Structure: optimized geometry

```
RbNaCd2O
1.0
5.021 0.000 0.000
0.000 5.021 0.000
0.000 0.000 5.456
Rb Na Cd O
1 1 2 1
Direct
0.000 0.000 0.000 Rb
0.500 0.500 0.000 Na
0.000 0.500 0.500 Cd
0.500 0.000 0.500 Cd
0.000 0.000 0.500 O
```

Properties
For the total energy, the calculation gives -1.9890 eV/atom. For the formation energy (no corrections), the calculation gives -0.174 eV per atom.

***

Compound: Rb2NaCdO
Source: Alexandria via LeMat-Bulk
Functional: GGA-PBE
Structure: optimized geometry

```
Rb2NaCdO
1.0
5.998 0.000 0.000
0.000 5.998 0.000
0.000 0.000 4.564
Rb Na Cd O
2 1 1 1
Direct
0.000 0.500 0.000 Rb
0.500 0.000 0.000 Rb
0.000 0.000 0.500 Na
0.500 0.500 0.500 Cd
0.000 0.000 0.000 O
```

Properties
For the total energy, the calculation gives -2.3513 eV/atom. For the formation energy (no corrections), the calculation gives -0.526 eV per atom.

***

So what do the calculations give for magnetic moment? Going down the list: 0.000 0.725 0.000 0.125 2.000 3.002 6.000 0.000 0.000 0.000 Bohr magnetons per cell.